[1]
BiSbOsAu2 | PBE | optimized geometry Values from VASP.

Quantum ESPRESSO input file:
```
&SYSTEM
  ibrav = 0, nat = 5, ntyp = 4
/
ATOMIC_SPECIES
Au 196.97 Au.upf
Os 190.23 Os.upf
Sb 121.76 Sb.upf
Bi 208.98 Bi.upf
CELL_PARAMETERS angstrom
-1.349 3.333 3.771
-3.442 -4.230 2.507
4.049 -1.599 2.862
ATOMIC_POSITIONS angstrom
Au -0.675 1.666 1.885
Au 2.025 -0.799 1.431
Os -0.371 -1.248 4.570
Sb -1.721 -2.115 1.254
Bi 0.000 0.000 0.000
```

Results
Raw total energy   -3.32 eV per atom
ρ   9.32 g cm⁻³
Raw formation energy   178 kJ per mole of atoms

---

[2]
SrBiOsAu2 | PBE | optimized geometry Values from VASP.

Quantum ESPRESSO input file:
```
&SYSTEM
  ibrav = 0, nat = 5, ntyp = 4
/
ATOMIC_SPECIES
Au 196.97 Au.upf
Os 190.23 Os.upf
Sr 87.62 Sr.upf
Bi 208.98 Bi.upf
CELL_PARAMETERS angstrom
-0.622 -4.954 2.233
-0.996 -2.495 -5.812
5.367 -0.912 -0.529
ATOMIC_POSITIONS angstrom
Au -0.311 -2.477 1.117
Au 2.683 -0.456 -0.264
Os 1.874 -4.180 -2.054
Sr 0.000 0.000 0.000
Bi -0.498 -1.247 -2.906
```

Results
Raw total energy   -2.82 eV per atom
ρ   7.64 g cm⁻³
Formation energy   9.25 eV/f.u.

---

[3]
BiPAu | PBE | optimized geometry Values from VASP.

Quantum ESPRESSO input file:
```
&SYSTEM
  ibrav = 0, nat = 3, ntyp = 3
/
ATOMIC_SPECIES
Bi 208.98 Bi.upf
P 30.97 P.upf
Au 196.97 Au.upf
CELL_PARAMETERS angstrom
-0.037 -3.949 1.495
2.868 -0.470 -1.172
2.419 2.013 5.114
ATOMIC_POSITIONS angstrom
Bi 0.153 -2.797 1.498
P 1.423 -1.777 4.196
Au 0.979 -0.173 2.466
```

Results
Raw total energy   -3.97 eV per atom
ρ   9.13 g cm⁻³
Excess energy over the best structure of this formula in the dataset   0.53 eV per formula unit
Formation energy   0.67 eV/f.u.

---

[4]
BiPAu | PBE | optimized geometry Values from VASP.

Quantum ESPRESSO input file:
```
&SYSTEM
  ibrav = 0, nat = 6, ntyp = 3
/
ATOMIC_SPECIES
Bi 208.98 Bi.upf
P 30.97 P.upf
Au 196.97 Au.upf
CELL_PARAMETERS angstrom
-2.190 2.191 0.329
-1.972 -2.417 2.972
5.950 4.773 7.828
ATOMIC_POSITIONS angstrom
Bi 4.524 5.603 7.558
Bi 0.564 2.008 5.130
P 2.234 3.348 7.327
P 0.245 2.170 1.927
Au 2.621 4.076 5.053
Au -1.340 0.481 2.625
```

Results
Raw total energy   -3.97 eV per atom
ρ   9.89 g cm⁻³
Excess energy over the best structure of this formula in the dataset   0.52 eV per formula unit
Formation energy   0.66 eV/f.u.

---

[5]
Bi2PAu2 | PBE | optimized geometry Values from VASP.

Quantum ESPRESSO input file:
```
&SYSTEM
  ibrav = 0, nat = 5, ntyp = 3
/
ATOMIC_SPECIES
P 30.97 P.upf
Bi 208.98 Bi.upf
Au 196.97 Au.upf
CELL_PARAMETERS angstrom
-0.625 1.577 -3.444
-1.366 -3.350 -1.285
-8.546 1.286 0.000
ATOMIC_POSITIONS angstrom
P 0.000 0.000 0.000
Bi -8.058 -0.027 -2.830
Bi -2.479 -0.460 -1.900
Au -5.454 -1.475 -1.825
Au -5.083 0.988 -2.905
```

Results
Raw total energy   -3.74 eV per atom
ρ   11.57 g cm⁻³
Excess energy over the best structure of this formula in the dataset   0.00 eV per formula unit
Formation energy   1.05 eV/f.u.

---

[6]
BiPAu | PBE | optimized geometry Values from VASP.

Quantum ESPRESSO input file:
```
&SYSTEM
  ibrav = 0, nat = 3, ntyp = 3
/
ATOMIC_SPECIES
Au 196.97 Au.upf
Bi 208.98 Bi.upf
P 30.97 P.upf
CELL_PARAMETERS angstrom
4.036 0.000 0.000
-2.018 3.496 0.000
0.000 0.000 4.762
ATOMIC_POSITIONS angstrom
Au 0.000 2.330 2.928
Bi 0.000 0.000 4.726
P 2.018 1.165 1.869
```

Results
Raw total energy   -4.08 eV per atom
ρ   10.80 g cm⁻³
Excess energy over the best structure of this formula in the dataset   0.18 eV per formula unit
Formation energy   0.32 eV/f.u.

---

[7]
BiPAu | PBE | optimized geometry Values from VASP.

Quantum ESPRESSO input file:
```
&SYSTEM
  ibrav = 0, nat = 6, ntyp = 3
/
ATOMIC_SPECIES
Bi 208.98 Bi.upf
Au 196.97 Au.upf
P 30.97 P.upf
CELL_PARAMETERS angstrom
-2.140 2.667 -1.679
-2.823 -2.524 -0.412
-4.352 3.145 10.543
ATOMIC_POSITIONS angstrom
Bi -2.854 0.340 -0.143
Bi -2.548 1.842 6.173
Au -3.553 2.568 8.609
Au -3.859 1.067 2.292
P -4.715 1.686 4.367
P -0.058 0.042 0.141
```

Results
Raw total energy   -3.96 eV per atom
ρ   8.45 g cm⁻³
Excess energy over the best structure of this formula in the dataset   0.54 eV per formula unit
Formation energy   0.68 eV/f.u.

---

[8]
Bi2PAu2 | PBE | optimized geometry Values from VASP.

Quantum ESPRESSO input file:
```
&SYSTEM
  ibrav = 0, nat = 10, ntyp = 3
/
ATOMIC_SPECIES
P 30.97 P.upf
Au 196.97 Au.upf
Bi 208.98 Bi.upf
CELL_PARAMETERS angstrom
-5.512 -4.460 0.091
3.196 -3.847 5.026
-2.046 2.596 3.288
ATOMIC_POSITIONS angstrom
P 0.000 0.000 0.000
P -1.158 -4.153 2.559
Au -3.086 -3.414 0.775
Au 0.770 -4.893 4.342
Au 0.357 -2.011 1.810
Au -2.672 -6.296 3.308
Bi -2.270 -0.826 2.545
Bi 0.174 -2.065 5.044
Bi -4.535 -3.646 3.362
Bi -2.091 -4.885 5.861
```

Results
Raw total energy   -3.72 eV per atom
ρ   11.94 g cm⁻³
Excess energy over the best structure of this formula in the dataset   0.07 eV per formula unit
Formation energy   1.12 eV/f.u.

---

[9]
BiPAu3 | PBE | optimized geometry Values from VASP.

Quantum ESPRESSO input file:
```
&SYSTEM
  ibrav = 0, nat = 5, ntyp = 3
/
ATOMIC_SPECIES
P 30.97 P.upf
Au 196.97 Au.upf
Bi 208.98 Bi.upf
CELL_PARAMETERS angstrom
5.420 0.000 0.000
0.000 5.420 0.000
0.000 0.000 5.420
ATOMIC_POSITIONS angstrom
P 2.710 2.710 2.710
Au 0.000 2.710 0.000
Au 2.710 0.000 0.000
Au 0.000 0.000 2.710
Bi 0.000 0.000 0.000
```

Results
Raw total energy   -2.73 eV per atom
ρ   8.67 g cm⁻³
Excess energy over the best structure of this formula in the dataset   4.03 eV per formula unit
Formation energy   5.50 eV/f.u.

---

[10]
Bi2P2Au | PBE | optimized geometry Values from VASP.

Quantum ESPRESSO input file:
```
&SYSTEM
  ibrav = 0, nat = 5, ntyp = 3
/
ATOMIC_SPECIES
P 30.97 P.upf
Bi 208.98 Bi.upf
Au 196.97 Au.upf
CELL_PARAMETERS angstrom
3.371 0.000 0.000
0.000 3.371 0.000
1.686 1.686 10.013
ATOMIC_POSITIONS angstrom
P 3.371 1.686 5.007
P 1.686 3.371 5.007
Bi 3.371 3.371 7.980
Bi 1.686 1.686 2.034
Au 0.000 0.000 0.000
```

Results
Raw total energy   -4.18 eV per atom
ρ   9.88 g cm⁻³
Excess energy over the best structure of this formula in the dataset   0.00 eV per formula unit
Formation energy   0.96 eV/f.u.

---

[11]
BiPAu | PBE | optimized geometry Values from VASP.

Quantum ESPRESSO input file:
```
&SYSTEM
  ibrav = 0, nat = 3, ntyp = 3
/
ATOMIC_SPECIES
Bi 208.98 Bi.upf
P 30.97 P.upf
Au 196.97 Au.upf
CELL_PARAMETERS angstrom
-0.523 -1.904 -3.783
1.458 -3.636 1.649
-4.062 -1.075 1.222
ATOMIC_POSITIONS angstrom
Bi -2.968 -1.719 0.688
P -1.469 -2.120 -1.526
Au 0.217 -3.417 -0.400
```

Results
Raw total energy   -4.14 eV per atom
ρ   9.14 g cm⁻³
Excess energy over the best structure of this formula in the dataset   0.00 eV per formula unit
Formation energy   0.14 eV/f.u.

---

[12]
Bi2P2Au | PBE | optimized geometry Values from VASP.

Quantum ESPRESSO input file:
```
&SYSTEM
  ibrav = 0, nat = 10, ntyp = 3
/
ATOMIC_SPECIES
Bi 208.98 Bi.upf
P 30.97 P.upf
Au 196.97 Au.upf
CELL_PARAMETERS angstrom
-6.718 -3.742 0.053
3.736 -6.713 -0.333
0.107 -0.137 3.962
ATOMIC_POSITIONS angstrom
Bi -1.235 -8.179 1.736
Bi -4.321 -5.501 1.912
Bi 1.447 -5.091 1.770
Bi -1.640 -2.413 1.946
P 0.080 -2.848 -0.101
P -3.869 -3.659 -0.021
P -3.062 -7.607 -0.180
P 0.887 -6.796 -0.259
Au 0.000 0.000 0.000
Au -1.491 -5.228 -0.140
```

Results
Raw total energy   -4.03 eV per atom
ρ   9.58 g cm⁻³
Excess energy over the best structure of this formula in the dataset   0.74 eV per formula unit
Formation energy   1.70 eV/f.u.

---

[13]
BiPAu3 | PBE | optimized geometry Values from VASP.

Quantum ESPRESSO input file:
```
&SYSTEM
  ibrav = 0, nat = 5, ntyp = 3
/
ATOMIC_SPECIES
Au 196.97 Au.upf
Bi 208.98 Bi.upf
P 30.97 P.upf
CELL_PARAMETERS angstrom
-0.157 -2.929 3.845
-3.180 -2.835 -2.289
3.640 -2.603 -1.834
ATOMIC_POSITIONS angstrom
Au 1.820 -1.301 -0.917
Au -1.590 -1.417 -1.144
Au -0.078 -1.464 1.923
Bi 0.152 -4.183 -0.139
P 0.000 0.000 0.000
```

Results
Raw total energy   -3.53 eV per atom
ρ   12.20 g cm⁻³
Excess energy over the best structure of this formula in the dataset   0.00 eV per formula unit
Formation energy   1.46 eV/f.u.

---

[14]
PmBiPAu | PBE | optimized geometry Values from VASP.

Quantum ESPRESSO input file:
```
&SYSTEM
  ibrav = 0, nat = 4, ntyp = 4
/
ATOMIC_SPECIES
P 30.97 P.upf
Au 196.97 Au.upf
Pm 145.00 Pm.upf
Bi 208.98 Bi.upf
CELL_PARAMETERS angstrom
-2.163 -4.552 0.838
0.237 -3.639 -3.578
2.926 -4.122 0.738
ATOMIC_POSITIONS angstrom
P 0.500 -6.156 -1.001
Au 0.000 0.000 0.000
Pm 0.250 -3.078 -0.500
Bi 0.750 -9.234 -1.501
```

Results
Raw total energy   -4.77 eV per atom
ρ   10.25 g cm⁻³
Formation energy   -1.75 eV/f.u.

---

[15]
BiP2AuS | PBE | optimized geometry Values from VASP.

Quantum ESPRESSO input file:
```
&SYSTEM
  ibrav = 0, nat = 5, ntyp = 4
/
ATOMIC_SPECIES
S 32.06 S.upf
Au 196.97 Au.upf
P 30.97 P.upf
Bi 208.98 Bi.upf
CELL_PARAMETERS angstrom
4.033 -0.025 0.000
1.921 5.441 -0.029
1.773 -0.132 6.555
ATOMIC_POSITIONS angstrom
S 5.503 5.227 0.758
Au 3.427 2.285 4.928
P 3.993 0.069 4.290
P 6.191 4.030 5.855
Bi 3.897 4.366 2.827
```

Results
Raw total energy   -4.43 eV per atom
ρ   5.76 g cm⁻³
Raw formation energy   0 kJ per mole of atoms
Excess energy over the best structure of this formula in the dataset   0.33 eV per formula unit

---

[16]
BiP2AuS | PBE | optimized geometry Values from VASP.

Quantum ESPRESSO input file:
```
&SYSTEM
  ibrav = 0, nat = 10, ntyp = 4
/
ATOMIC_SPECIES
P 30.97 P.upf
Bi 208.98 Bi.upf
S 32.06 S.upf
Au 196.97 Au.upf
CELL_PARAMETERS angstrom
5.636 0.000 0.009
0.000 3.425 0.000
-5.097 0.000 13.107
ATOMIC_POSITIONS angstrom
P -1.268 0.000 6.118
P -3.816 1.712 12.671
P 3.043 1.712 5.382
P 0.495 0.000 11.936
Bi 0.655 0.000 4.066
Bi -1.893 1.712 10.620
S 3.733 1.712 3.381
S 1.185 0.000 9.934
Au -0.646 0.000 8.336
Au 1.903 1.712 1.783
```

Results
Raw total energy   -4.35 eV per atom
ρ   6.56 g cm⁻³
Raw formation energy   7 kJ per mole of atoms
Excess energy over the best structure of this formula in the dataset   0.71 eV per formula unit

---

[17]
BiP2AuS | PBE | optimized geometry Values from VASP.

Quantum ESPRESSO input file:
```
&SYSTEM
  ibrav = 0, nat = 5, ntyp = 4
/
ATOMIC_SPECIES
P 30.97 P.upf
Bi 208.98 Bi.upf
Au 196.97 Au.upf
S 32.06 S.upf
CELL_PARAMETERS angstrom
-4.084 -1.890 1.983
1.799 -3.383 0.481
2.871 2.209 4.796
ATOMIC_POSITIONS angstrom
P 0.968 -1.633 0.397
P -0.284 -2.047 2.168
Bi 0.081 0.542 3.508
Au -2.651 -1.149 1.831
S 2.785 -0.222 3.524
```

Results
Raw total energy   -4.44 eV per atom
ρ   7.45 g cm⁻³
Raw formation energy   -2 kJ per mole of atoms
Excess energy over the best structure of this formula in the dataset   0.28 eV per formula unit

---

[18]
BiP2AuS | PBE | optimized geometry Values from VASP.

Quantum ESPRESSO input file:
```
&SYSTEM
  ibrav = 0, nat = 5, ntyp = 4
/
ATOMIC_SPECIES
Bi 208.98 Bi.upf
P 30.97 P.upf
S 32.06 S.upf
Au 196.97 Au.upf
CELL_PARAMETERS angstrom
4.356 0.024 0.010
1.360 5.429 -0.019
1.382 1.894 5.286
ATOMIC_POSITIONS angstrom
Bi 4.274 3.913 5.269
P 1.785 4.815 2.481
P 0.721 0.370 0.564
S 3.055 3.072 2.404
Au 2.866 6.252 4.030
```

Results
Raw total energy   -4.42 eV per atom
ρ   6.64 g cm⁻³
Raw formation energy   0 kJ per mole of atoms
Excess energy over the best structure of this formula in the dataset   0.37 eV per formula unit

---

[19]
BiP2AuS | PBE | optimized geometry Values from VASP.

Quantum ESPRESSO input file:
```
&SYSTEM
  ibrav = 0, nat = 5, ntyp = 4
/
ATOMIC_SPECIES
S 32.06 S.upf
Au 196.97 Au.upf
P 30.97 P.upf
Bi 208.98 Bi.upf
CELL_PARAMETERS angstrom
4.361 0.000 -0.005
0.000 3.853 0.000
-0.856 0.000 7.189
ATOMIC_POSITIONS angstrom
S 3.422 0.000 2.533
Au 3.454 0.000 6.431
P 0.439 1.927 7.067
P 2.135 1.927 5.735
Bi 1.600 1.927 2.741
```

Results
Raw total energy   -4.49 eV per atom
ρ   6.87 g cm⁻³
Raw formation energy   -7 kJ per mole of atoms
Excess energy over the best structure of this formula in the dataset   0.00 eV per formula unit

---

[20]
BiP2AuS | PBE | optimized geometry Values from VASP.

Quantum ESPRESSO input file:
```
&SYSTEM
  ibrav = 0, nat = 5, ntyp = 4
/
ATOMIC_SPECIES
Bi 208.98 Bi.upf
P 30.97 P.upf
Au 196.97 Au.upf
S 32.06 S.upf
CELL_PARAMETERS angstrom
4.442 0.004 -0.005
2.049 5.204 -0.013
1.622 -0.028 5.603
ATOMIC_POSITIONS angstrom
Bi 5.996 3.016 4.272
P 1.411 1.147 0.030
P 4.203 1.021 3.768
Au 2.754 1.449 1.963
S 2.557 4.461 0.242
```

Results
Raw total energy   -4.45 eV per atom
ρ   6.41 g cm⁻³
Raw formation energy   -2 kJ per mole of atoms
Excess energy over the best structure of this formula in the dataset   0.23 eV per formula unit

---

Asked for volume across the records above, the calculation gives 162.9; 191.5; 79.4; 146.7; 120.9; 67.2; 171.7; 234.4; 159.2; 113.8; 79.3; 234.6; 113.1; 94.3; 144.1; 253.1; 111.4; 124.9; 120.8; 129.5 Å³/cell in order.